MoSN3 | PBE-GGA | optimized geometry

```
MoSN3
1.0
3.547 0.000 0.000
0.000 3.547 0.000
0.000 0.000 3.547
Mo S N
1 1 3
Direct
0.000 0.000 0.000
0.500 0.500 0.500
0.000 0.500 0.500
0.500 0.000 0.500
0.500 0.500 0.000
```

Summary:
E = -6.388 eV/atom
space group = Pm-3m, No. 221
formation energy without anion corrections = 1.60 eV per atom


ScMoSN2 | PBE-GGA | optimized geometry

```
ScMoSN2
1.0
4.064 0.000 0.000
0.000 4.064 0.000
0.000 0.000 4.938
Sc Mo S N
1 1 1 2
Direct
0.000 0.000 0.000
0.500 0.500 0.500
0.000 0.000 0.500
0.000 0.500 0.000
0.500 0.000 0.000
```

Summary:
E = -6.754 eV/atom
space group = P4/mmm, No. 123
ΔE to the lowest computed polymorph = 1128.4 meV per atom
formation energy without anion corrections = 0.83 eV per atom


ScMoSN2 | PBE-GGA | optimized geometry

```
ScMoSN2
1.0
3.896 0.000 0.000
0.000 3.896 0.000
0.000 0.000 4.901
Sc Mo S N
1 1 1 2
Direct
0.000 0.000 0.000
0.500 0.500 0.500
0.500 0.500 0.000
0.000 0.500 0.500
0.500 0.000 0.500
```

Summary:
E = -7.883 eV/atom
space group = P4/mmm, No. 123
ΔE to the lowest computed polymorph = 0.0 meV per atom
formation energy without anion corrections = -0.29 eV per atom


MoSeSN2 | PBE-GGA | optimized geometry

```
MoSeSN2
1.0
3.699 0.000 0.000
0.000 3.699 0.000
0.000 0.000 4.775
Mo Se S N
1 1 1 2
Direct
0.000 0.000 0.000
0.500 0.500 0.000
0.500 0.500 0.500
0.000 0.500 0.500
0.500 0.000 0.500
```

Summary:
E = -5.313 eV/atom
space group = P4/mmm, No. 123
ΔE to the lowest computed polymorph = 1040.7 meV per atom
formation energy without anion corrections = 1.71 eV per atom


MoSeSN2 | PBE-GGA | optimized geometry

```
MoSeSN2
1.0
3.881 0.000 0.000
0.000 3.881 0.000
0.000 0.000 5.175
Mo Se S N
1 1 1 2
Direct
0.000 0.000 0.000
0.500 0.500 0.500
0.000 0.000 0.500
0.000 0.500 0.000
0.500 0.000 0.000
```

Summary:
E = -6.354 eV/atom
space group = P4/mmm, No. 123
ΔE to the lowest computed polymorph = 0.0 meV per atom
formation energy without anion corrections = 0.66 eV per atom


MoSeSN2 | PBE-GGA | optimized geometry

```
MoSeSN2
1.0
3.824 0.000 0.000
0.000 3.824 0.000
0.000 0.000 4.759
Mo Se S N
1 1 1 2
Direct
0.000 0.000 0.000
0.500 0.500 0.500
0.500 0.500 0.000
0.000 0.500 0.500
0.500 0.000 0.500
```

Summary:
E = -5.311 eV/atom
space group = P4/mmm, No. 123
ΔE to the lowest computed polymorph = 1043.0 meV per atom
formation energy without anion corrections = 1.71 eV per atom


SnMoSN2 | PBE-GGA | optimized geometry

```
SnMoSN2
1.0
3.981 0.000 0.000
0.000 3.981 0.000
0.000 0.000 5.019
Sn Mo S N
1 1 1 2
Direct
0.000 0.000 0.000
0.500 0.500 0.500
0.500 0.500 0.000
0.000 0.500 0.500
0.500 0.000 0.500
```

Summary:
E = -6.896 eV/atom
space group = P4/mmm, No. 123
ΔE to the lowest computed polymorph = 0.0 meV per atom
formation energy without anion corrections = 0.23 eV per atom


SnMoS2N | PBE-GGA | optimized geometry

```
SnMoS2N
1.0
4.908 0.000 0.000
0.000 4.908 0.000
0.000 0.000 3.834
Sn Mo S N
1 1 2 1
Direct
0.000 0.000 0.000
0.500 0.500 0.500
0.000 0.500 0.500
0.500 0.000 0.500
0.500 0.500 0.000
```

Summary:
E = -6.348 eV/atom
space group = P4/mmm, No. 123
ΔE to the lowest computed polymorph = 0.0 meV per atom
formation energy without anion corrections = -0.06 eV per atom


SnMoS2N | PBE-GGA | optimized geometry

```
SnMoS2N
1.0
5.049 0.000 0.000
0.000 5.049 0.000
0.000 0.000 3.947
Sn Mo S N
1 1 2 1
Direct
0.000 0.000 0.000
0.500 0.500 0.500
0.000 0.500 0.000
0.500 0.000 0.000
0.000 0.000 0.500
```

Summary:
E = -5.117 eV/atom
space group = P4/mmm, No. 123
ΔE to the lowest computed polymorph = 1230.8 meV per atom
formation energy without anion corrections = 1.17 eV per atom


SnMoSN2 | PBE-GGA | optimized geometry

```
SnMoSN2
1.0
4.081 0.000 0.000
0.000 4.081 0.000
0.000 0.000 5.085
Sn Mo S N
1 1 1 2
Direct
0.000 0.000 0.000
0.500 0.500 0.500
0.000 0.000 0.500
0.000 0.500 0.000
0.500 0.000 0.000
```

Summary:
E = -5.633 eV/atom
space group = P4/mmm, No. 123
ΔE to the lowest computed polymorph = 1263.2 meV per atom
formation energy without anion corrections = 1.49 eV per atom


SrMoSN2 | PBE-GGA | optimized geometry

```
SrMoSN2
1.0
4.386 0.000 0.000
0.000 4.386 0.000
0.000 0.000 4.346
Sr Mo S N
1 1 1 2
Direct
0.000 0.000 0.000
0.500 0.500 0.000
0.500 0.500 0.500
0.000 0.500 0.500
0.500 0.000 0.500
```

Summary:
E = -5.196 eV/atom
space group = P4/mmm, No. 123
ΔE to the lowest computed polymorph = 2020.1 meV per atom
formation energy without anion corrections = 1.46 eV per atom


SrMoSN2 | PBE-GGA | optimized geometry

```
SrMoSN2
1.0
4.026 0.000 0.000
0.000 4.026 0.000
0.000 0.000 4.955
Sr Mo S N
1 1 1 2
Direct
0.000 0.000 0.000
0.500 0.500 0.500
0.500 0.500 0.000
0.000 0.500 0.500
0.500 0.000 0.500
```

Summary:
E = -7.216 eV/atom
space group = P4/mmm, No. 123
ΔE to the lowest computed polymorph = 0.0 meV per atom
formation energy without anion corrections = -0.56 eV per atom